The following is a DFT calculation (PBE) of Np2TeS2 after structural relaxation.

Structure (POSCAR):
```
Np2TeS2
1.0
4.5090 0.0000 0.0000
-2.2545 3.9049 0.0000
0.0000 0.0000 14.9032
Np Te S
4 2 4
direct
0.3333 0.6667 0.1147
0.3333 0.6667 0.3853
0.6667 0.3333 0.6147
0.6667 0.3333 0.8853
0.0000 0.0000 0.2500
0.0000 0.0000 0.7500
0.3333 0.6667 0.5698
0.3333 0.6667 0.9302
0.6667 0.3333 0.0698
0.6667 0.3333 0.4302
```

Properties
* distance to the lowest polymorph of the same formula: 0.000 eV/atom
* calculated density: 8.43 g cm⁻³
* formation energy without anion corrections: -5.96 eV/f.u.
* spin magnetization: 8.00 μB/f.u.
* raw total energy: -8.6472 eV/atom

***

The following is a DFT calculation (PBE) of YNi4Sn4 after structural relaxation.

Structure (POSCAR):
```
YNi4Sn4
1.0
8.4377 0.0000 0.0000
0.0000 8.4377 0.0000
0.0000 0.0000 5.1274
Y Ni Sn
2 8 8
direct
0.2500 0.2500 0.2500
0.7500 0.7500 0.7500
0.0547 0.6008 0.6519
0.1008 0.9453 0.1519
0.3992 0.5547 0.1519
0.4453 0.8992 0.6519
0.5547 0.1008 0.3481
0.6008 0.4453 0.8481
0.8992 0.0547 0.8481
0.9453 0.3992 0.3481
0.0974 0.6348 0.1541
0.1348 0.9026 0.6541
0.3652 0.5974 0.6541
0.4026 0.8652 0.1541
0.5974 0.1348 0.8459
0.6348 0.4026 0.3459
0.8652 0.0974 0.3459
0.9026 0.3652 0.8459
```

Properties
* ΔH_f (0 K): -0.18 eV/atom
* calculated density: 7.26 g cm⁻³
* spin magnetization: 0.00 μB/f.u.
* raw total energy: -5.2486 eV/atom

***

The following is a DFT calculation (PBE) of EuNiGe after structural relaxation.

Structure (POSCAR):
```
EuNiGe
1.0
4.1443 0.0000 0.0000
-2.0721 3.5891 0.0000
0.0000 0.0000 4.1992
Eu Ni Ge
1 1 1
direct
0.0000 0.0000 0.0000
0.6667 0.3333 0.5000
0.3333 0.6667 0.5000
```

Properties
* ΔH_f (0 K): -0.55 eV/atom
* calculated density: 7.53 g cm⁻³
* spin magnetization: 6.93 μB/f.u.
* raw total energy: -7.4372 eV/atom

***

The following is a DFT calculation (PBE) of Hf2MgPb after structural relaxation.

Structure (POSCAR):
```
Hf2MgPb
1.0
1.5816 0.9132 11.3011
-1.5816 0.9132 11.3011
0.0000 -1.8263 11.3011
Hf Mg Pb
2 1 1
direct
0.0888 0.0888 0.0888
0.9112 0.9112 0.9112
0.0000 0.0000 0.0000
0.5000 0.5000 0.5000
```

Properties
* ΔH_f (0 K): 0.38 eV/atom
* calculated density: 9.98 g cm⁻³
* spin magnetization: 0.00 μB/f.u.
* raw total energy: -5.9238 eV/atom

***

The following is a DFT calculation (PBE) of Ho2B2O7 after structural relaxation.

Structure (POSCAR):
```
Ho2B2O7
1.0
3.2230 -4.4955 0.0000
3.2230 4.4955 0.0000
-1.5330 0.0000 4.4322
Ho B O
2 2 7
direct
0.1958 0.8042 0.0000
0.8042 0.1958 0.0000
0.2682 0.2682 0.6354
0.7318 0.7318 0.3646
0.1170 0.3872 0.7811
0.1833 0.1833 0.3118
0.3872 0.1170 0.7811
0.5000 0.5000 0.5000
0.6128 0.8830 0.2189
0.8167 0.8167 0.6882
0.8830 0.6128 0.2189
```

Properties
* calculated density: 5.99 g cm⁻³
* formation energy without anion corrections: -28.39 eV/f.u.
* spin magnetization: 0.00 μB/f.u.
* raw total energy: -7.7828 eV/atom

***

The following is a DFT calculation (PBE) of Zr4GaAs after structural relaxation.

Structure (POSCAR):
```
Zr4GaAs
1.0
3.8597 -6.1295 0.0000
3.8597 6.1295 0.0000
-1.8615 0.0000 5.2543
Zr Ga As
8 2 2
direct
0.0911 0.7117 0.9429
0.2098 0.3882 0.6305
0.2883 0.9089 0.5571
0.3882 0.2098 0.1305
0.6118 0.7902 0.8695
0.7117 0.0911 0.4429
0.7902 0.6118 0.3695
0.9089 0.2883 0.0571
0.3847 0.6153 0.2500
0.6153 0.3847 0.7500
0.0058 0.9942 0.2500
0.9942 0.0058 0.7500
```

Properties
* distance to the lowest polymorph of the same formula: 0.180 eV/atom
* ΔH_f (0 K): -0.53 eV/atom
* calculated density: 6.81 g cm⁻³
* spin magnetization: 0.00 μB/f.u.
* raw total energy: -7.5071 eV/atom

***

The following is a DFT calculation (PBE) of Ba2ScTa after structural relaxation.

Structure (POSCAR):
```
Ba2ScTa
1.0
4.8944 0.0000 0.0000
0.0000 4.8944 0.0000
0.0000 0.0000 5.3217
Ba Sc Ta
2 1 1
direct
0.0000 0.5000 0.0000
0.5000 0.0000 0.0000
0.0000 0.0000 0.5000
0.5000 0.5000 0.5000
```

Properties
* distance to the lowest polymorph of the same formula: 0.426 eV/atom
* ΔH_f (0 K): 1.03 eV/atom
* calculated density: 6.52 g cm⁻³
* spin magnetization: 0.00 μB/f.u.
* raw total energy: -4.4793 eV/atom

***

The following is a DFT calculation (PBE) of YGa6Pd2 after structural relaxation.

Structure (POSCAR):
```
YGa6Pd2
1.0
4.7165 0.0000 0.0000
0.0000 4.7165 0.0000
0.0000 0.0000 7.6001
Y Ga Pd
1 6 2
direct
0.0000 0.0000 0.0000
0.0000 0.0000 0.5000
0.0000 0.5000 0.2929
0.0000 0.5000 0.7071
0.5000 0.0000 0.2929
0.5000 0.0000 0.7071
0.5000 0.5000 0.5000
0.5000 0.5000 0.1723
0.5000 0.5000 0.8277
```

Properties
* ΔH_f (0 K): -0.38 eV/atom
* calculated density: 7.07 g cm⁻³
* spin magnetization: 0.00 μB/f.u.
* raw total energy: -4.2724 eV/atom

***

The following is a DFT calculation (PBE) of MnInP4 after structural relaxation.

Structure (POSCAR):
```
MnInP4
1.0
0.0000 3.7038 3.7038
3.7038 0.0000 3.7038
3.7038 3.7038 0.0000
Mn In P
1 1 4
direct
0.0000 0.0000 0.0000
0.2500 0.2500 0.2500
0.1126 0.6291 0.6291
0.6291 0.1126 0.6291
0.6291 0.6291 0.1126
0.6291 0.6291 0.6291
```

Properties
* ΔH_f (0 K): 0.60 eV/atom
* calculated density: 4.80 g cm⁻³
* spin magnetization: 4.05 μB/f.u.
* raw total energy: -4.9880 eV/atom

***

The following is a DFT calculation (PBE) of Na5Au after structural relaxation.

Structure (POSCAR):
```
Na5Au
1.0
2.4265 -7.2329 0.0000
2.4265 7.2329 0.0000
0.0000 0.0000 4.8989
Na Au
5 1
direct
0.0000 0.0000 0.0000
0.1485 0.8515 0.5000
0.3509 0.6491 0.0000
0.6491 0.3509 0.0000
0.8515 0.1485 0.5000
0.5000 0.5000 0.5000
```

Properties
* distance to the lowest polymorph of the same formula: 0.023 eV/atom
* ΔH_f (0 K): -0.10 eV/atom
* calculated density: 3.01 g cm⁻³
* spin magnetization: 0.00 μB/f.u.
* raw total energy: -1.7495 eV/atom

***

The following is a DFT calculation (PBE) of Pm5Er2Bi5 after structural relaxation.

Structure (POSCAR):
```
Pm5Er2Bi5
1.0
7.4524 -2.2559 0.0000
7.4524 2.2559 0.0000
-4.8920 0.0000 12.0271
Pm Er Bi
5 2 5
direct
0.0000 0.0000 0.0000
0.1628 0.1628 0.5338
0.2195 0.2195 0.8407
0.7805 0.7805 0.1593
0.8372 0.8372 0.4662
0.4490 0.4490 0.7076
0.5510 0.5510 0.2924
0.1903 0.1903 0.2824
0.3843 0.3843 0.0734
0.5000 0.5000 0.5000
0.6157 0.6157 0.9266
0.8097 0.8097 0.7176
```

Properties
* ΔH_f (0 K): -0.65 eV/atom
* calculated density: 8.64 g cm⁻³
* spin magnetization: 0.00 μB/f.u.
* raw total energy: -5.0110 eV/atom

***

The following is a DFT calculation (PBE) of AlZn4Fe after structural relaxation.

Structure (POSCAR):
```
AlZn4Fe
1.0
0.0000 3.5002 3.5002
3.5002 0.0000 3.5002
3.5002 3.5002 0.0000
Al Zn Fe
1 4 1
direct
0.0000 0.0000 0.0000
0.1270 0.6243 0.6243
0.6243 0.1270 0.6243
0.6243 0.6243 0.1270
0.6243 0.6243 0.6243
0.2500 0.2500 0.2500
```

Properties
* ΔH_f (0 K): 0.18 eV/atom
* calculated density: 6.67 g cm⁻³
* spin magnetization: 1.93 μB/f.u.
* raw total energy: -2.7082 eV/atom

***

The following is a DFT calculation (PBE) of HoInTe2 after structural relaxation.

Structure (POSCAR):
```
HoInTe2
1.0
2.1875 1.2629 8.2922
-2.1875 1.2629 8.2922
0.0000 -2.5259 8.2922
Ho In Te
1 1 2
direct
0.0000 0.0000 0.0000
0.8320 0.8320 0.8320
0.4045 0.4045 0.4045
0.5949 0.5949 0.5949
```

Properties
* calculated density: 6.46 g cm⁻³
* formation energy without anion corrections: -3.78 eV/f.u.
* spin magnetization: 0.00 μB/f.u.
* raw total energy: -4.3454 eV/atom

***

The following is a DFT calculation (PBE) of ZrTiNF2 after structural relaxation.

Structure (POSCAR):
```
ZrTiNF2
1.0
4.2033 0.0000 0.0000
0.0000 4.2033 0.0000
0.0000 0.0000 4.3013
Zr Ti N F
1 1 1 2
direct
0.0000 0.0000 0.0000
0.5000 0.5000 0.5000
0.0000 0.0000 0.5000
0.0000 0.5000 0.0000
0.5000 0.0000 0.0000
```

Properties
* distance to the lowest polymorph of the same formula: 0.090 eV/atom
* calculated density: 4.18 g cm⁻³
* formation energy without anion corrections: -6.91 eV/f.u.
* spin magnetization: 2.94 μB/f.u.
* raw total energy: -7.0834 eV/atom

***

The following is a DFT calculation (PBE) of CoAg2Au after structural relaxation.

Structure (POSCAR):
```
CoAg2Au
1.0
2.7788 0.0000 0.0000
0.0000 4.7662 0.0000
-0.3077 0.0000 4.9673
Co Ag Au
1 2 1
direct
0.0000 0.0000 0.0000
0.2358 0.5000 0.7579
0.7642 0.5000 0.2421
0.5000 0.0000 0.5000
```

Properties
* distance to the lowest polymorph of the same formula: 0.077 eV/atom
* ΔH_f (0 K): 0.28 eV/atom
* calculated density: 11.90 g cm⁻³
* spin magnetization: 1.76 μB/f.u.
* raw total energy: -3.7437 eV/atom

***

The following is a DFT calculation (PBE) of Pm4Nd3Y2 after structural relaxation.

Structure (POSCAR):
```
Pm4Nd3Y2
1.0
6.3056 0.0000 0.0000
3.1452 5.4682 0.0000
3.1321 1.8317 8.9338
Pm Nd Y
4 3 2
direct
0.1109 0.4447 0.1667
0.3334 0.3330 0.4998
0.6666 0.6670 0.5002
0.8891 0.5553 0.8333
0.0000 0.0000 0.5000
0.4453 0.7780 0.1658
0.5547 0.2220 0.8342
0.2217 0.8889 0.8343
0.7783 0.1111 0.1657
```

Properties
* ΔH_f (0 K): 0.01 eV/atom
* calculated density: 6.42 g cm⁻³
* spin magnetization: 0.00 μB/f.u.
* raw total energy: -5.1247 eV/atom

***

The following is a DFT calculation (PBE) of Dy3Np3VN8 after structural relaxation.

Structure (POSCAR):
```
Dy3Np3VN8
1.0
3.3413 1.9291 5.5880
-3.3413 1.9291 5.5880
0.0000 -3.8582 5.5880
Dy Np V N
3 3 1 8
direct
0.0000 0.5000 0.5000
0.5000 0.0000 0.5000
0.5000 0.5000 0.0000
0.0000 0.0000 0.5000
0.0000 0.5000 0.0000
0.5000 0.0000 0.0000
0.5000 0.5000 0.5000
0.2503 0.2503 0.2503
0.2629 0.7237 0.7237
0.2763 0.2763 0.7371
0.2763 0.7371 0.2763
0.7237 0.2629 0.7237
0.7237 0.7237 0.2629
0.7371 0.2763 0.2763
0.7497 0.7497 0.7497
```

Properties
* calculated density: 10.46 g cm⁻³
* formation energy without anion corrections: -18.09 eV/f.u.
* spin magnetization: 9.88 μB/f.u.
* raw total energy: -9.7629 eV/atom

***

The following is a DFT calculation (PBE) of RbLa2Y after structural relaxation.

Structure (POSCAR):
```
RbLa2Y
1.0
-4.7323 4.7323 3.5523
4.7323 -4.7323 3.5523
4.7323 4.7323 -3.5523
Rb La Y
2 4 2
direct
0.0000 0.0000 0.0000
0.7500 0.2500 0.5000
0.1281 0.1250 0.5031
0.3750 0.8719 0.9969
0.6219 0.6250 0.4969
0.8750 0.3781 0.0031
0.2500 0.7500 0.5000
0.5000 0.5000 0.0000
```

Properties
* distance to the lowest polymorph of the same formula: 0.163 eV/atom
* ΔH_f (0 K): 0.72 eV/atom
* calculated density: 4.72 g cm⁻³
* spin magnetization: 0.00 μB/f.u.
* raw total energy: -3.6012 eV/atom